(1)
DFT (PBE) results for an optimized crystal structure of CePr2TmPt2.

a = 6.8112 Å, b = 6.8414 Å, c = 8.6146 Å
α = 113.40°, β = 113.29°, γ = 90.00°
Closest atoms and distances in Å follow each position.
Fractional positions:
Pt1 0.1095 0.8566 0.2190  1 Pr 2.86, 2 Tm 2.86, 2 Ce 2.89
Pt2 0.6095 0.3624 0.2190  1 Pr 2.86, 2 Tm 2.86, 2 Ce 2.89
Pt3 0.3905 0.6376 0.7810  1 Pr 2.86, 2 Tm 2.86, 2 Ce 2.89
Pt4 0.8905 0.1434 0.7810  1 Pr 2.86, 2 Tm 2.86, 2 Ce 2.89
Pr1 0.1900 0.4373 0.3799  1 Pt 2.86
Pr2 0.8100 0.5627 0.6201  1 Pt 2.86
Pr3 0.3100 0.0574 0.6201  1 Pt 2.86
Pr4 0.6900 0.9426 0.3799  1 Pt 2.86
Ce1 0.7500 0.0000 0.0000  4 Pt 2.89
Ce2 0.2500 0.0000 0.0000  4 Pt 2.89
Tm1 0.2500 0.5000 0.0000  4 Pt 2.86
Tm2 0.7500 0.5000 0.0000  4 Pt 2.86

The density of states at the Fermi level comes out at 17.22 states/eV per cell. The calculated volume is 166.2 Å³/f.u.

(2)
DFT (PBE) results for an optimized crystal structure of CePrZnPt.

a = 5.1450 Å, b = 5.1450 Å, c = 5.1450 Å
α = 60.00°, β = 60.00°, γ = 60.00°
Closest atoms and distances in Å follow each position.
Fractional positions:
Pr1 0.0000 0.0000 0.0000  4 Pt 3.15, 4 Zn 3.15
Ce1 0.5000 0.5000 0.5000  4 Zn 3.15, 4 Pt 3.15
Pt1 0.2500 0.2500 0.2500  4 Ce 3.15, 4 Pr 3.15
Zn1 0.7500 0.7500 0.7500  4 Ce 3.15, 4 Pr 3.15

The density of states at the Fermi level comes out at 8.37 states/eV per cell. The calculated volume is 96.3 Å³/f.u.

(3)
DFT (PBE) results for an optimized crystal structure of CePr2Pu.

a = 5.2351 Å, b = 4.9228 Å, c = 4.9228 Å
α = 90.00°, β = 90.00°, γ = 90.00°
Closest atoms and distances in Å follow each position.
Fractional positions:
Pr1 0.0000 0.5000 0.0000  4 Pr 3.48, 4 Ce 3.59, 4 Pu 3.59
Pr2 0.0000 0.0000 0.5000  4 Pr 3.48, 4 Ce 3.59, 4 Pu 3.59
Pu1 0.5000 0.0000 0.0000  4 Ce 3.48, 8 Pr 3.59
Ce1 0.5000 0.5000 0.5000  4 Pu 3.48, 8 Pr 3.59

The density of states at the Fermi level comes out at 12.74 states/eV per cell. For the excess energy over the best structure of this formula in the dataset, the calculation gives 0.00 eV per formula unit. The calculated volume is 126.9 Å³/f.u.

(4)
DFT (PBE) results for an optimized crystal structure of CePrPu.

a = 3.4772 Å, b = 3.4772 Å, c = 7.6747 Å
α = 103.09°, β = 103.09°, γ = 90.00°
Closest atoms and distances in Å follow each position.
Fractional positions:
Pr1 0.6663 0.6663 0.3327  4 Pr 3.48, 4 Pu 3.60, 4 Ce 3.61
Pu1 0.9858 0.9858 0.9717  4 Ce 3.17, 4 Pu 3.48
Ce1 0.3478 0.3478 0.6956  4 Pu 3.17, 4 Ce 3.48

The density of states at the Fermi level comes out at 8.71 states/eV per cell. For the excess energy over the best structure of this formula in the dataset, the calculation gives 0.00 eV per formula unit. The calculated volume is 87.9 Å³/f.u.

(5)
DFT (PBE) results for an optimized crystal structure of CePrPu.

a = 3.4599 Å, b = 9.6159 Å, c = 9.8728 Å
α = 90.00°, β = 90.00°, γ = 90.00°
Closest atoms and distances in Å follow each position.
Fractional positions:
Pr1 0.7500 0.8381 0.5661  5 Ce 3.24-3.50, 2 Pr 3.46, 2 Pu 3.54
Pr2 0.2500 0.1619 0.4339  5 Ce 3.24-3.50, 2 Pr 3.46, 2 Pu 3.54
Pr3 0.2500 0.3381 0.9339  5 Ce 3.24-3.50, 2 Pr 3.46, 2 Pu 3.54
Pr4 0.7500 0.6619 0.0661  5 Ce 3.24-3.50, 2 Pr 3.46, 2 Pu 3.54
Ce1 0.7500 0.1241 0.7396  3 Pu 3.08-3.28, 3 Pr 3.24-3.30
Ce2 0.2500 0.8759 0.2604  3 Pu 3.08-3.28, 3 Pr 3.24-3.30
Ce3 0.7500 0.3759 0.2396  3 Pu 3.08-3.28, 3 Pr 3.24-3.30
Ce4 0.2500 0.6241 0.7604  3 Pu 3.08-3.28, 3 Pr 3.24-3.30
Pu1 0.7500 0.0462 0.0633  2 Pu 2.31
Pu2 0.2500 0.9538 0.9367  2 Pu 2.31
Pu3 0.7500 0.4538 0.5633  2 Pu 2.31
Pu4 0.2500 0.5462 0.4367  2 Pu 2.31

The density of states at the Fermi level comes out at 31.74 states/eV per cell. For the excess energy over the best structure of this formula in the dataset, the calculation gives 0.51 eV per formula unit. The calculated volume is 82.1 Å³/f.u.

(6)
DFT (PBE) results for an optimized crystal structure of Ce2PrPu.

a = 3.5868 Å, b = 3.5868 Å, c = 10.3069 Å
α = 79.98°, β = 79.98°, γ = 60.00°
Closest atoms and distances in Å follow each position.
Fractional positions:
Pr1 0.0000 0.0000 0.0000  2 Ce 3.47, 6 Pr 3.59
Ce1 0.8854 0.8854 0.3438  3 Pu 2.60
Ce2 0.1146 0.1146 0.6562  3 Pu 2.60
Pu1 0.5000 0.5000 0.5000  6 Ce 2.60

The density of states at the Fermi level comes out at 10.21 states/eV per cell. For the excess energy over the best structure of this formula in the dataset, the calculation gives 1.24 eV per formula unit. The calculated volume is 112.5 Å³/f.u.

(7)
DFT (PBE) results for an optimized crystal structure of CePrPu.

a = 3.2370 Å, b = 5.6488 Å, c = 5.6488 Å
α = 120.00°, β = 90.00°, γ = 90.00°
Closest atoms and distances in Å follow each position.
Fractional positions:
Pu1 0.6668 0.3333 0.6667  2 Pu 3.24
Pr1 0.1671 0.6667 0.3333  2 Pr 3.24, 3 Ce 3.26
Ce1 0.1661 0.0000 0.0000  2 Ce 3.24, 3 Pr 3.26

The density of states at the Fermi level comes out at 13.22 states/eV per cell. For the excess energy over the best structure of this formula in the dataset, the calculation gives 0.42 eV per formula unit. The calculated volume is 89.4 Å³/f.u.

(8)
DFT (PBE) results for an optimized crystal structure of CePr2Pu.

a = 3.5417 Å, b = 3.5417 Å, c = 10.3864 Å
α = 90.00°, β = 90.00°, γ = 90.00°
Closest atoms and distances in Å follow each position.
Fractional positions:
Pr1 0.0000 0.0000 0.2522  4 Pr 3.54, 4 Pu 3.59, 4 Ce 3.62
Pr2 0.0000 0.0000 0.7478  4 Pr 3.54, 4 Pu 3.59, 4 Ce 3.62
Ce1 0.5000 0.5000 0.0000  4 Ce 3.54, 8 Pr 3.62
Pu1 0.5000 0.5000 0.5000  4 Pu 3.54, 8 Pr 3.59

The density of states at the Fermi level comes out at 13.09 states/eV per cell. For the excess energy over the best structure of this formula in the dataset, the calculation gives 0.03 eV per formula unit. The calculated volume is 130.3 Å³/f.u.

(9)
DFT (PBE) results for an optimized crystal structure of Ce2PrPu.

a = 3.5136 Å, b = 5.8222 Å, c = 5.8222 Å
α = 90.00°, β = 90.00°, γ = 90.00°
Closest atoms and distances in Å follow each position.
Fractional positions:
Ce1 0.0000 0.0000 0.5000  4 Pr 3.40, 4 Pu 3.40, 2 Ce 3.51
Ce2 0.0000 0.5000 0.0000  4 Pu 3.40, 4 Pr 3.40, 2 Ce 3.51
Pu1 0.5000 0.5000 0.5000  8 Ce 3.40, 2 Pu 3.51
Pr1 0.5000 0.0000 0.0000  8 Ce 3.40, 2 Pr 3.51

The density of states at the Fermi level comes out at 13.02 states/eV per cell. For the excess energy over the best structure of this formula in the dataset, the calculation gives 0.41 eV per formula unit. The calculated volume is 119.1 Å³/f.u.

(10)
DFT (PBE) results for an optimized crystal structure of CePrPu4.

a = 6.1848 Å, b = 6.1848 Å, c = 6.1848 Å
α = 60.00°, β = 60.00°, γ = 60.00°
Closest atoms and distances in Å follow each position.
Fractional positions:
Pr1 0.2500 0.2500 0.2500  12 Pu 3.63, 4 Ce 3.79
Pu1 0.1215 0.6262 0.6262  6 Pu 3.06-3.12
Pu2 0.6262 0.6262 0.6262  6 Pu 3.06-3.12
Pu3 0.6262 0.1215 0.6262  6 Pu 3.06-3.12
Pu4 0.6262 0.6262 0.1215  6 Pu 3.06-3.12
Ce1 0.0000 0.0000 0.0000  12 Pu 3.62, 4 Pr 3.79

The density of states at the Fermi level comes out at 26.57 states/eV per cell. The calculated volume is 167.3 Å³/f.u.

(11)
DFT (PBE) results for an optimized crystal structure of CePr14Pu.

a = 7.3605 Å, b = 7.3605 Å, c = 10.4328 Å
α = 90.00°, β = 90.00°, γ = 90.00°
Closest atoms and distances in Å follow each position.
Fractional positions:
Pr1 0.8753 0.6253 0.5000  12 Pr 3.68-3.73
Pr2 0.6254 0.3746 0.2444  1 Pu 3.64, 10 Pr 3.64-3.73, 1 Ce 3.65
Pr3 0.8747 0.6247 0.0000  8 Pr 3.64, 2 Pu 3.68, 2 Ce 3.68
Pr4 0.1247 0.3747 0.2443  1 Pu 3.64, 10 Pr 3.64-3.73, 1 Ce 3.64
Pr5 0.6254 0.3746 0.7556  1 Pu 3.64, 10 Pr 3.64-3.73, 1 Ce 3.65
Pr6 0.6253 0.8753 0.7557  1 Pu 3.64, 10 Pr 3.64-3.73, 1 Ce 3.64
Pr7 0.6253 0.8753 0.2443  1 Pu 3.64, 10 Pr 3.64-3.73, 1 Ce 3.64
Pr8 0.1246 0.8754 0.2441  1 Pu 3.64, 1 Ce 3.64, 10 Pr 3.64-3.73
Pr9 0.3747 0.1247 0.5000  12 Pr 3.68-3.73
Pr10 0.8748 0.1252 0.5000  12 Pr 3.68-3.73
Pr11 0.1246 0.8754 0.7559  1 Pu 3.64, 1 Ce 3.64, 10 Pr 3.64-3.73
Pr12 0.3752 0.6248 0.5000  12 Pr 3.68-3.73
Pr13 0.1247 0.3747 0.7557  1 Pu 3.64, 10 Pr 3.64-3.73, 1 Ce 3.64
Pr14 0.3753 0.1253 0.0000  8 Pr 3.64, 2 Pu 3.68, 2 Ce 3.68
Pu1 0.8751 0.1249 0.0000  12 Pr 3.64-3.68
Ce1 0.3749 0.6251 0.0000  12 Pr 3.64-3.68

The density of states at the Fermi level comes out at 34.39 states/eV per cell. The calculated volume is 565.2 Å³/f.u.

(12)
DFT (PBE) results for an optimized crystal structure of Ce2PrPu.

a = 3.6574 Å, b = 3.6574 Å, c = 9.7324 Å
α = 79.17°, β = 79.17°, γ = 60.00°
Closest atoms and distances in Å follow each position.
Fractional positions:
Ce1 0.2218 0.2218 0.3345  3 Pu 2.60
Ce2 0.1137 0.1137 0.6590  3 Pu 2.62
Pr1 0.6628 0.6628 0.0116  6 Pr 3.66, 6 Ce 3.72-3.96
Pu1 0.5017 0.5017 0.4950  6 Ce 2.60-2.62

The density of states at the Fermi level comes out at 7.56 states/eV per cell. For the excess energy over the best structure of this formula in the dataset, the calculation gives 0.87 eV per formula unit. The calculated volume is 110.1 Å³/f.u.

no.,electronic total energy (eV/atom),formation energy (eV/atom)
1,-6.122,-0.781
2,-5.091,-0.584
3,-7.287,0.170
4,-8.209,0.140
5,-8.040,0.308
6,-7.316,0.429
7,-8.068,0.280
8,-7.279,0.177
9,-7.524,0.221
10,-11.082,0.258
11,-5.388,0.061
12,-7.410,0.335